1.
Density functional theory data (GGA-PBEsol) for a relaxed Pr2In crystal.

## Properties
Symmetry: P6_3/mmc (194)

```
Pr2In
1.0
5.4994 0.0000 0.0000
-2.7497 4.7626 0.0000
0.0000 0.0000 6.8671
In Pr
2 4
direct
0.3333 0.6667 0.2500
0.6667 0.3333 0.7500
0.3333 0.6667 0.7500
0.6667 0.3333 0.2500
0.0000 0.0000 0.5000
0.0000 0.0000 0.0000
```

2.
Density functional theory data (GGA-PBEsol) for a relaxed Pr5Te7MoCl3O23 crystal.

## Properties
Symmetry: C2 (5)

```
Pr5Te7MoCl3O23
1.0
-1.2086 -7.2122 2.2662
6.9314 -6.2196 -3.1653
9.2854 0.9823 15.6814
Pr Te Cl O Mo
10 14 6 46 2
direct
0.7563 0.4873 0.5000
0.1795 0.5195 0.7373
0.2436 0.5127 0.5000
0.8164 0.4866 0.2624
0.6971 0.4866 0.7376
0.7439 0.7787 0.8632
0.2548 0.2230 0.1366
0.4775 0.7787 0.1368
0.3010 0.5195 0.2627
0.5222 0.2230 0.8634
0.6007 0.2351 0.3842
0.0012 0.9981 0.2375
0.0382 0.6654 0.1089
0.3979 0.7650 0.6135
0.7037 0.3358 0.1094
0.8481 0.7895 0.6398
0.1642 0.2351 0.6158
0.1549 0.2112 0.3582
0.6339 0.2112 0.6418
0.3625 0.7895 0.3602
0.9605 0.3358 0.8906
0.0007 0.9981 0.7625
0.8371 0.7650 0.3865
0.2964 0.6654 0.8911
0.5633 0.0010 0.2897
0.2998 0.4004 0.0000
0.6993 0.6013 0.0000
0.0374 0.9251 0.5000
0.4996 0.0008 0.5000
0.4357 0.0010 0.7103
0.8973 0.5171 0.8369
0.1134 0.0004 0.9113
0.3051 0.8391 0.0279
0.6417 0.6773 0.3916
0.9706 0.6279 0.3093
0.4840 0.0009 0.9236
0.2366 0.0004 0.1923
0.7924 0.7308 0.1604
0.3186 0.3252 0.3899
0.9257 0.3713 0.3865
0.4015 0.6279 0.6907
0.4261 0.6396 0.5341
0.6948 0.1626 0.9720
0.4128 0.4849 0.8369
0.6811 0.6773 0.6084
0.8210 0.6959 0.7333
0.3562 0.3252 0.6101
0.1791 0.7278 0.1697
0.9343 0.6396 0.4659
0.7030 0.3713 0.6135
0.3035 0.6238 0.3862
0.0683 0.3508 0.5330
0.5151 0.0009 0.0764
0.0728 0.6238 0.6138
0.7630 0.0004 0.8077
0.9584 0.1445 0.3110
0.5228 0.2699 0.1600
0.0273 0.3731 0.6919
0.2072 0.2699 0.8400
0.8862 0.0004 0.0887
0.1777 0.3056 0.2659
0.5855 0.5171 0.1631
0.8970 0.1445 0.6890
0.4831 0.6959 0.2667
0.1022 0.4849 0.1631
0.1061 0.8475 0.3091
0.4768 0.7308 0.8396
0.1426 0.1626 0.0280
0.9057 0.2748 0.1708
0.0931 0.7278 0.8303
0.5996 0.3731 0.3081
0.0464 0.8475 0.6909
0.8558 0.8391 0.9721
0.5809 0.3508 0.4670
0.8195 0.2748 0.8292
0.5168 0.3056 0.7341
0.7357 0.0009 0.0251
0.2634 0.0009 0.9749
```

3.
Density functional theory data (GGA-PBEsol) for a relaxed CaAgTe2 crystal.

## Properties
Symmetry: Cm (8)

```
CaAgTe2
1.0
4.1223 0.0000 0.0000
0.0000 4.4497 0.0292
-2.0611 -1.0649 5.7251
Te Ag Ca
2 1 1
direct
0.9940 0.8879 0.9881
0.7306 0.3298 0.4611
0.5034 0.4375 0.0067
0.2720 0.8447 0.5441
```

4.
Density functional theory data (GGA-PBEsol) for a relaxed LaBe2Se crystal.

## Properties
Symmetry: Fmmm (69)

```
LaBe2Se
1.0
4.0307 -0.0076 0.0017
-0.0382 4.0306 0.0017
-1.9940 -2.0093 5.2051
La Se Be
1 1 2
direct
0.0000 0.0000 0.0000
0.5000 0.5000 0.0000
0.5000 0.0000 0.5000
0.0000 0.5000 0.5000
```

5.
Density functional theory data (GGA-PBEsol) for a relaxed ZrIn2Hg crystal.

## Properties
Symmetry: Cm (8)

```
ZrIn2Hg
1.0
-0.9397 -2.8443 -0.9351
-1.4737 -1.1884 5.0956
-3.5350 3.8396 -2.8610
Hg In Zr
1 2 1
direct
0.2417 0.8341 0.4835
0.9969 0.9159 0.9938
0.7575 0.3428 0.5149
0.5039 0.4072 0.0078
```

6.
Density functional theory data (GGA-PBEsol) for a relaxed SrLi2Mg2 crystal.

## Properties
Symmetry: P4/mbm (127)

```
SrLi2Mg2
1.0
3.5001 0.0000 0.0000
0.0000 8.5654 0.0000
0.0000 0.0000 8.5654
Mg Sr Li
4 2 4
direct
0.5000 0.6631 0.8369
0.5000 0.8369 0.3369
0.5000 0.1631 0.6631
0.5000 0.3369 0.1631
0.0000 0.5000 0.5000
0.0000 0.0000 0.0000
0.0000 0.8729 0.6271
0.0000 0.1271 0.3729
0.0000 0.6271 0.1271
0.0000 0.3729 0.8729
```

7.
Density functional theory data (GGA-PBEsol) for a relaxed MgSiTc2 crystal.

## Properties
Excess energy over the best structure of this formula in the dataset, meV per atom: 0.0
Symmetry: Fm-3m (225)

```
MgSiTc2
1.0
-2.6610 -0.9148 3.1965
-2.3765 -3.5305 -0.1520
0.8500 -3.2531 2.6134
Tc Si Mg
2 1 1
direct
0.7500 0.7500 0.7500
0.2500 0.2500 0.2500
0.5000 0.5000 0.5000
0.0000 0.0000 0.0000
```

8.
Density functional theory data (GGA-PBEsol) for a relaxed CrAu2Cl crystal.

## Properties
Excess energy over the best structure of this formula in the dataset, meV per atom: 0.0
Symmetry: R3m (160)

```
CrAu2Cl
1.0
-2.2979 -1.1685 -1.7747
0.4423 -0.3935 -3.0733
2.2859 -8.3993 -0.1891
Cl Au Cr
1 2 1
direct
0.5233 0.5233 0.4301
0.7396 0.7396 0.7811
0.9884 0.9884 0.0347
0.2486 0.2486 0.2541
```

9.
Density functional theory data (GGA-PBEsol) for a relaxed BeSbHI2 crystal.

## Properties
Symmetry: P4/mmm (123)

```
BeSbHI2
1.0
3.8564 0.0000 0.0000
0.0000 5.3967 0.0000
0.0000 0.0000 5.3967
I Sb H Be
2 1 1 1
direct
0.0000 0.5000 0.0000
0.0000 0.0000 0.5000
0.5000 0.0000 0.0000
0.0000 0.0000 0.0000
0.5000 0.5000 0.5000
```

10.
Density functional theory data (GGA-PBEsol) for a relaxed TbGePd crystal.

## Properties
Symmetry: C2/m (12)

```
TbGePd
1.0
4.3055 0.0000 0.0000
2.1528 5.1424 0.0051
2.1528 0.4817 5.1808
Ge Pd Tb
2 2 2
direct
0.8408 0.2193 0.0991
0.1592 0.7807 0.9009
0.1763 0.3738 0.2735
0.8237 0.6262 0.7265
0.5484 0.2123 0.6908
0.4516 0.7877 0.3092
```

11.
Density functional theory data (GGA-PBEsol) for a relaxed Y2CoAu crystal.

## Properties
Symmetry: Imm2 (44)

```
Y2CoAu
1.0
-1.4582 1.9957 2.2421
1.8286 -2.4457 3.3662
4.1307 3.4115 -2.8335
Y Au Co
2 1 1
direct
0.0363 0.0363 0.0727
0.2432 0.7432 0.4863
0.4548 0.4548 0.9096
0.7657 0.2657 0.5314
```

12.
Density functional theory data (GGA-PBEsol) for a relaxed CsBiSb2I crystal.

## Properties
Symmetry: P4/mmm (123)

```
CsBiSb2I
1.0
-3.9571 -4.2575 2.0889
2.1246 -4.0239 -4.1765
4.4015 -2.0318 4.1967
Bi Sb I Cs
1 2 1 1
direct
0.5000 0.5000 0.5000
0.5000 0.0000 0.0000
0.0000 0.5000 0.0000
0.0000 0.0000 0.5000
0.0000 0.0000 0.0000
```

13.
Density functional theory data (GGA-PBEsol) for a relaxed CdPPtCl2 crystal.

## Properties
Symmetry: P4/mmm (123)

```
CdPPtCl2
1.0
-2.1227 0.9273 -3.9500
0.3717 -4.7065 -1.3047
-4.3241 -0.9255 2.1065
Cd Pt Cl P
1 1 2 1
direct
0.5000 0.5000 0.5000
0.0000 0.0000 0.0000
0.0000 0.0000 0.5000
0.0000 0.5000 0.0000
0.5000 0.0000 0.0000
```

14.
Density functional theory data (GGA-PBEsol) for a relaxed CdIn2Ag crystal.

## Properties
Symmetry: P4mm (99)

```
CdIn2Ag
1.0
-0.7553 -2.7428 1.3361
2.8709 -1.1048 -0.6451
2.8658 2.9567 7.6895
In Ag Cd
2 1 1
direct
0.0000 0.0000 0.9888
0.5000 0.5000 0.2815
0.0000 0.0000 0.5083
0.5000 0.5000 0.7215
```

15.
Density functional theory data (GGA-PBEsol) for a relaxed CaSe2Br crystal.

## Properties
Excess energy over the best structure of this formula in the dataset, meV per atom: 178.3
Symmetry: C2/m (12)

```
CaSe2Br
1.0
-1.5066 4.4999 -1.3560
-4.2182 -2.7145 0.9617
2.8917 0.6305 4.1626
Se Ca Br
2 1 1
direct
0.0000 0.5000 0.0000
0.0000 0.0000 0.5000
0.5000 0.5000 0.5000
0.5000 0.0000 0.0000
```

16.
Density functional theory data (GGA-PBEsol) for a relaxed ReRuRh3 crystal.

## Properties
Symmetry: Pm-3m (221)

```
ReRuRh3
1.0
4.5803 0.0000 0.0000
0.0000 4.5803 0.0000
0.0000 0.0000 4.5803
Re Rh Ru
1 3 1
direct
0.0000 0.0000 0.0000
0.5000 0.0000 0.0000
0.0000 0.5000 0.0000
0.0000 0.0000 0.5000
0.5000 0.5000 0.5000
```

17.
Density functional theory data (GGA-PBEsol) for a relaxed SmP3H5NO10 crystal.

## Properties
Symmetry: P-1 (2)

```
SmP3H5NO10
1.0
6.9742 -0.0105 0.0501
1.0488 7.7376 -0.0844
2.4522 2.0653 7.9518
P O H Sm N
6 20 10 2 2
direct
0.3308 0.3076 0.8420
0.1453 0.0407 0.1372
0.6782 0.7621 0.6897
0.8547 0.9593 0.8628
0.6692 0.6924 0.1580
0.3218 0.2379 0.3103
0.5818 0.7057 0.3380
0.5314 0.6263 0.0800
0.9514 0.1523 0.1619
0.8663 0.5744 0.1296
0.0486 0.8477 0.8381
0.4686 0.3737 0.9200
0.2733 0.0680 0.2545
0.1382 0.8426 0.1689
0.8618 0.1574 0.8311
0.1938 0.3984 0.2462
0.7579 0.8306 0.4948
0.7179 0.8945 0.0515
0.4539 0.7474 0.7472
0.2421 0.1694 0.5052
0.1337 0.4256 0.8704
0.8062 0.6016 0.7538
0.5461 0.2526 0.2528
0.4182 0.2943 0.6620
0.7267 0.9320 0.7455
0.2821 0.1055 0.9485
0.6573 0.2929 0.5442
0.3133 0.2178 0.5762
0.6867 0.7822 0.4238
0.8507 0.3964 0.3799
0.9041 0.2389 0.5413
0.0959 0.7611 0.4587
0.1493 0.6036 0.6201
0.8113 0.1874 0.3976
0.1887 0.8126 0.6024
0.3427 0.7071 0.4558
0.2276 0.6314 0.0073
0.7724 0.3686 0.9927
0.1950 0.7207 0.5326
0.8050 0.2793 0.4674
```

18.
Density functional theory data (GGA-PBEsol) for a relaxed Tl5Sb crystal.

## Properties
Excess energy over the best structure of this formula in the dataset, meV per atom: 0.0
Symmetry: Cmmm (65)

```
Tl5Sb
1.0
-1.2616 4.4968 1.6721
-4.6530 -0.7349 -1.5341
-0.9708 -4.9931 5.3368
Tl Sb
5 1
direct
0.8376 0.0000 0.6753
0.1624 0.0000 0.3247
0.6627 0.5000 0.3253
0.3373 0.5000 0.6747
0.0000 0.5000 0.0000
0.5000 0.0000 0.0000
```

19.
Density functional theory data (GGA-PBEsol) for a relaxed NiPtRh2 crystal.

## Properties
Symmetry: Pmmm (47)

```
NiPtRh2
1.0
-1.5551 -2.1016 0.4588
1.0004 -1.6239 -4.0479
3.5228 -2.2222 1.7621
Ni Rh Pt
1 2 1
direct
0.5000 0.0000 0.5000
0.0000 0.0000 0.0000
0.5000 0.5000 0.0000
0.0000 0.5000 0.5000
```

20.
Density functional theory data (GGA-PBEsol) for a relaxed NdEuB12 crystal.

## Properties
Symmetry: Fm-3m (225)

```
NdEuB12
1.0
-3.1629 -0.8791 -4.8132
-2.9883 -4.9580 -0.6568
-5.8188 0.0457 0.2892
Nd B Eu
1 12 1
direct
0.5000 0.5000 0.5000
0.6000 0.9000 0.6000
0.1000 0.4000 0.4000
0.4000 0.4000 0.1000
0.9000 0.9000 0.6000
0.9000 0.6000 0.9000
0.4000 0.1000 0.4000
0.6000 0.9000 0.9000
0.4000 0.1000 0.1000
0.1000 0.4000 0.1000
0.9000 0.6000 0.6000
0.6000 0.6000 0.9000
0.1000 0.1000 0.4000
0.0000 0.0000 0.0000
```

| no. | E (eV per atom) |
| --- | --- |
| 1 | -4.8144 |
| 2 | -6.8381 |
| 3 | -3.8053 |
| 4 | -4.1975 |
| 5 | -4.1028 |
| 6 | -1.8532 |
| 7 | -7.4597 |
| 8 | -5.0011 |
| 9 | -2.3748 |
| 10 | -6.2526 |
| 11 | -6.6175 |
| 12 | -2.0041 |
| 13 | -3.4697 |
| 14 | -2.6209 |
| 15 | -3.7733 |
| 16 | -7.7186 |
| 17 | -6.9570 |
| 18 | -2.9618 |
| 19 | -7.1917 |
| 20 | -7.6447 |